## PmPrOs (PBE)

Data for PmPrOs after structural relaxation.

Properties
D(E_F) = 0.687 states/eV/atom
crystal system = cubic
excess energy over the best structure of this formula in the dataset = 0 meV per atom
formation energy from the elements = -0.05 eV per atom
symmetry = No. 216
total energy = -0.2561 hartree per atom

abc: 4.931 4.931 4.931
angles: 60.00 60.00 60.00
Sites, in units of the cell vectors:
Pr (0.000, 0.000, 0.000)
Os (0.250, 0.250, 0.250)
Pm (0.500, 0.500, 0.500)

## Ho2PdI (PBE)

Data for Ho2PdI after structural relaxation.

Properties
D(E_F) = 0.753 states/eV/atom
crystal system = trigonal
symmetry = No. 160
total energy = -0.1770 hartree per atom

abc: 4.135 4.135 8.265
angles: 75.51 75.51 60.00
Sites, in units of the cell vectors:
Ho (0.061, 0.061, 0.816)
Ho (0.273, 0.273, 0.180)
Pd (0.667, 0.667, 0.999)
I (0.498, 0.498, 0.505)

## Y2ScZnAg (PBE)

Data for Y2ScZnAg after structural relaxation.

Properties
D(E_F) = 1.667 states/eV/atom
crystal system = tetragonal
formation energy from the elements = 0.32 eV per atom
symmetry = No. 123
total energy = -0.1601 hartree per atom

abc: 5.419 4.805 5.419
angles: 90.00 90.00 90.00
Site moments in Bohr magnetons follow the coordinates.
Sites, in units of the cell vectors:
Y (0.000, 0.000, 0.500)  0.02
Y (0.500, 0.000, 0.000)  0.01
Sc (0.500, 0.500, 0.500)  0.06
Zn (0.000, 0.000, 0.000)  0.00
Ag (0.000, 0.500, 0.000)  0.00

## LaPr2Hg5 (PBE)

Data for LaPr2Hg5 after structural relaxation.

Properties
D(E_F) = 0.784 states/eV/atom
crystal system = tetragonal
formation energy from the elements = -0.46 eV per atom
symmetry = No. 139
total energy = -0.0902 hartree per atom

abc: 5.378 5.378 8.530
angles: 108.37 108.37 90.00
Sites, in units of the cell vectors:
La (0.000, 0.000, 0.000)
Pr (0.730, 0.730, 0.460)
Pr (0.270, 0.270, 0.540)
Hg (0.500, 0.500, 0.000)
Hg (0.877, 0.377, 0.755)
Hg (0.377, 0.877, 0.755)
Hg (0.123, 0.623, 0.245)
Hg (0.623, 0.123, 0.245)

## Sr2MoCl (PBE)

Data for Sr2MoCl after structural relaxation.

Properties
D(E_F) = 1.564 states/eV/atom
crystal system = tetragonal
excess energy over the best structure of this formula in the dataset = 295 meV per atom
symmetry = No. 122
total energy = -0.1401 hartree per atom

abc: 8.316 8.316 7.198
angles: 54.71 54.71 90.00
Site moments in Bohr magnetons follow the coordinates.
Sites, in units of the cell vectors:
Sr (0.590, 0.125, 0.250)  0.02
Sr (0.160, 0.625, 0.250)  0.02
Sr (0.375, 0.410, 0.750)  0.02
Sr (0.875, 0.840, 0.750)  0.01
Mo (0.000, 0.000, 0.000)  3.21
Mo (0.750, 0.250, 0.500)  3.21
Cl (0.500, 0.500, 0.000)  0.02
Cl (0.250, 0.750, 0.500)  0.02

## YUPa2As4 (PBE)

Data for YUPa2As4 after structural relaxation.

Properties
D(E_F) = 1.603 states/eV/atom
crystal system = monoclinic
formation energy from the elements = -1.09 eV per atom
symmetry = No. 10
total energy = -0.2942 hartree per atom

abc: 4.088 7.129 7.077
angles: 109.31 90.00 90.00
Site moments in Bohr magnetons follow the coordinates.
Sites, in units of the cell vectors:
Y (0.500, 0.500, 0.000)  -0.01
U (0.000, 0.000, 0.000)  2.24
Pa (0.500, 0.000, 0.500)  0.21
Pa (0.000, 0.500, 0.500)  0.28
As (0.500, 0.250, 0.250)  -0.03
As (0.500, 0.750, 0.750)  -0.03
As (0.000, 0.249, 0.749)  -0.01
As (0.000, 0.751, 0.251)  -0.01

## Pr2Ge4Pd5 (PBE)

Data for Pr2Ge4Pd5 after structural relaxation.

Properties
D(E_F) = 0.821 states/eV/atom
crystal system = orthorhombic
formation energy from the elements = -0.67 eV per atom
symmetry = No. 69
total energy = -0.2050 hartree per atom

abc: 5.829 5.782 7.970
angles: 79.38 68.55 59.73
Sites, in units of the cell vectors:
Pr (0.860, 0.000, 0.280)
Pr (0.140, 0.000, 0.720)
Ge (0.486, 0.293, 0.734)
Ge (0.514, 0.707, 0.266)
Ge (0.220, 0.293, 0.266)
Ge (0.780, 0.707, 0.734)
Pd (0.500, 0.000, 0.000)
Pd (0.000, 0.500, 0.000)
Pd (0.500, 0.500, 0.000)
Pd (0.250, 0.500, 0.500)
Pd (0.750, 0.500, 0.500)

## LiTh2Tl3Te6 (PBE)

Data for LiTh2Tl3Te6 after structural relaxation.

Properties
crystal system = monoclinic
symmetry = No. 12
total energy = -0.1630 hartree per atom

abc: 7.844 7.844 8.580
angles: 98.69 98.69 120.04
Sites, in units of the cell vectors:
Li (0.000, 0.000, 0.000)
Th (0.333, 0.667, 0.000)
Th (0.667, 0.333, 0.000)
Tl (0.167, 0.833, 0.500)
Tl (0.833, 0.167, 0.500)
Tl (0.500, 0.500, 0.500)
Te (0.928, 0.589, 0.783)
Te (0.734, 0.734, 0.213)
Te (0.072, 0.411, 0.217)
Te (0.589, 0.928, 0.783)
Te (0.266, 0.266, 0.787)
Te (0.411, 0.072, 0.217)

## Cr2InP (PBE)

Data for Cr2InP after structural relaxation.

Properties
D(E_F) = 0.571 states/eV/atom
crystal system = orthorhombic
excess energy over the best structure of this formula in the dataset = 0 meV per atom
formation energy from the elements = 0.03 eV per atom
symmetry = No. 44
total energy = -0.2507 hartree per atom

abc: 7.114 7.114 2.975
angles: 77.93 77.93 25.80
Site moments in Bohr magnetons follow the coordinates.
Sites, in units of the cell vectors:
Cr (0.916, 0.916, 0.084)  2.28
Cr (0.734, 0.734, 0.766)  1.10
In (0.557, 0.557, 0.443)  -0.05
P (0.293, 0.293, 0.207)  -0.11

## PrPaPt2 (PBE)

Data for PrPaPt2 after structural relaxation.

Properties
D(E_F) = 0.675 states/eV/atom
crystal system = trigonal
excess energy over the best structure of this formula in the dataset = 23 meV per atom
formation energy from the elements = -0.99 eV per atom
symmetry = No. 166
total energy = -0.2786 hartree per atom

abc: 4.003 4.003 7.618
angles: 74.77 74.77 60.00
Sites, in units of the cell vectors:
Pr (0.500, 0.500, 0.500)
Pa (0.000, 0.000, 0.000)
Pt (0.742, 0.742, 0.775)
Pt (0.258, 0.258, 0.225)

## DyCd9Pd3 (PBE)

Data for DyCd9Pd3 after structural relaxation.

Properties
D(E_F) = 0.612 states/eV/atom
crystal system = monoclinic
formation energy from the elements = -0.28 eV per atom
symmetry = No. 12
total energy = -0.0906 hartree per atom

abc: 5.665 7.497 7.438
angles: 81.47 67.61 67.07
Sites, in units of the cell vectors:
Dy (0.000, 0.000, 0.000)
Cd (0.710, 0.790, 0.783)
Cd (0.290, 0.210, 0.217)
Cd (0.508, 0.210, 0.783)
Cd (0.492, 0.790, 0.217)
Cd (0.647, 0.333, 0.347)
Cd (0.353, 0.667, 0.653)
Cd (0.006, 0.667, 0.347)
Cd (0.994, 0.333, 0.653)
Cd (0.000, 0.500, 0.000)
Pd (0.500, 0.500, 0.000)
Pd (0.000, 0.000, 0.500)
Pd (0.500, 0.000, 0.500)

## TlCdCu2Cl6 (PBE)

Data for TlCdCu2Cl6 after structural relaxation.

Properties
D(E_F) = 0.657 states/eV/atom
crystal system = monoclinic
symmetry = No. 15
total energy = -0.1100 hartree per atom

abc: 7.716 9.343 9.343
angles: 88.16 74.03 74.03
Site moments in Bohr magnetons follow the coordinates.
Sites, in units of the cell vectors:
Tl (0.250, 0.871, 0.129)  0.00
Tl (0.750, 0.129, 0.871)  0.00
Cd (0.250, 0.212, 0.788)  0.00
Cd (0.750, 0.788, 0.212)  0.00
Cu (0.313, 0.741, 0.632)  0.35
Cu (0.187, 0.368, 0.259)  0.35
Cu (0.687, 0.259, 0.368)  0.35
Cu (0.813, 0.632, 0.741)  0.35
Cl (0.184, 0.954, 0.801)  0.03
Cl (0.316, 0.199, 0.046)  0.03
Cl (0.816, 0.046, 0.199)  0.03
Cl (0.684, 0.801, 0.954)  0.03
Cl (0.442, 0.833, 0.397)  0.02
Cl (0.058, 0.603, 0.167)  0.02
Cl (0.558, 0.167, 0.603)  0.02
Cl (0.942, 0.397, 0.833)  0.02
Cl (0.053, 0.703, 0.592)  0.09
Cl (0.447, 0.408, 0.297)  0.09
Cl (0.947, 0.297, 0.408)  0.09
Cl (0.553, 0.592, 0.703)  0.09

Number 1 is which compound?
PmPrOs

Copy entry 5 word for word.
## Sr2MoCl (PBE)

Data for Sr2MoCl after structural relaxation.

Properties
D(E_F) = 1.564 states/eV/atom
crystal system = tetragonal
excess energy over the best structure of this formula in the dataset = 295 meV per atom
symmetry = No. 122
total energy = -0.1401 hartree per atom

abc: 8.316 8.316 7.198
angles: 54.71 54.71 90.00
Site moments in Bohr magnetons follow the coordinates.
Sites, in units of the cell vectors:
Sr (0.590, 0.125, 0.250)  0.02
Sr (0.160, 0.625, 0.250)  0.02
Sr (0.375, 0.410, 0.750)  0.02
Sr (0.875, 0.840, 0.750)  0.01
Mo (0.000, 0.000, 0.000)  3.21
Mo (0.750, 0.250, 0.500)  3.21
Cl (0.500, 0.500, 0.000)  0.02
Cl (0.250, 0.750, 0.500)  0.02

What is the formula in the tenth record?
PrPaPt2